A plane-wave DFT calculation with GGA-PBE was carried out for a relaxed structure of GaSbPbI2.

Cell lengths 5.6369, 5.6369, 5.5217 Å; angles 90.00, 90.00, 90.00 degrees
Closest atoms and distances in Å follow each position.
Fractional positions:
Ga 0.0000 0.0000 0.0000  2 Sb 2.76, 4 I 2.82
Pb 0.5000 0.5000 0.5000  8 I 3.95, 4 Sb 3.99
Sb 0.0000 0.0000 0.5000  2 Ga 2.76
I 0.5000 0.0000 0.0000  2 Ga 2.82
I 0.0000 0.5000 0.0000  2 Ga 2.82

Results
The space-group type is P4/mmm. Its crystal system is tetragonal. Its energy above the most stable polymorph in this dataset is 0.0 meV/atom. For the energy relative to the elements, uncorrected, the calculation gives 0.15 eV/atom. As for the mass density: 6.18 Mg/m³.

=====

A plane-wave DFT calculation with GGA-PBE was carried out for a relaxed structure of NaWS2Cl.

Cell lengths 4.8833, 4.8833, 4.6331 Å; angles 90.00, 90.00, 90.00 degrees
Closest atoms and distances in Å follow each position.
Fractional positions:
Cl 0.0000 0.0000 0.5000  2 Na 2.32
S 0.5000 0.0000 0.0000  2 Na 2.44
W 0.5000 0.5000 0.5000  8 S 3.37, 4 Cl 3.45
S 0.0000 0.5000 0.0000  2 Na 2.44
Na 0.0000 0.0000 0.0000  2 Cl 2.32, 4 S 2.44

Results
The space-group type is P4/mmm. Its crystal system is tetragonal. Its energy above the most stable polymorph in this dataset is 1764.1 meV/atom. For the energy relative to the elements, uncorrected, the calculation gives 1.25 eV/atom. As for the mass density: 4.61 Mg/m³.

=====

A plane-wave DFT calculation with GGA-PBE was carried out for a relaxed structure of Y2As2Br.

Cell lengths 7.8505, 7.8505, 3.9196 Å; angles 90.00, 90.00, 90.00 degrees
Closest atoms and distances in Å follow each position.
Fractional positions:
Y 0.3307 0.8307 0.0000  2 Br 2.92, 6 As 3.03-3.04
Br 0.5000 0.5000 0.0000  4 Y 2.92
As 0.3774 0.1226 0.5000  1 As 2.72, 6 Y 3.03-3.04
Y 0.8307 0.6693 0.0000  2 Br 2.92, 6 As 3.03-3.04
As 0.1226 0.6226 0.5000  1 As 2.72, 6 Y 3.03-3.04
Y 0.6693 0.1693 0.0000  2 Br 2.92, 6 As 3.03-3.04
As 0.8774 0.3774 0.5000  1 As 2.72, 6 Y 3.03-3.04
As 0.6226 0.8774 0.5000  1 As 2.72, 6 Y 3.03-3.04
Y 0.1693 0.3307 0.0000  2 Br 2.92, 6 As 3.03-3.04
Br 0.0000 0.0000 0.0000  4 Y 2.92

Results
The space-group type is P4/mbm. Its crystal system is tetragonal. For the energy relative to the elements, uncorrected, the calculation gives -1.27 eV/atom. As for the mass density: 5.60 Mg/m³.

=====

A plane-wave DFT calculation with GGA-PBE was carried out for a relaxed structure of V3Pd3Pt.

Cell lengths 6.0222, 5.0024, 5.0024 Å; angles 104.98, 113.66, 113.66 degrees
Closest atoms and distances in Å follow each position.
Fractional positions:
V 0.4323 0.4474 0.0000  2 Pt 2.47-2.61, 5 Pd 2.52-2.70
Pd 0.6313 0.6406 0.6406  5 V 2.52-2.70, 1 Pt 2.71
V 0.4323 0.0000 0.4474  2 Pt 2.47-2.61, 5 Pd 2.52-2.70
Pd 0.9907 0.3594 0.0000  5 V 2.52-2.70, 1 Pt 2.71
Pt 0.5129 0.0000 0.0000  6 V 2.47-2.61, 3 Pd 2.71
V 0.9849 0.5526 0.5526  2 Pt 2.47-2.61, 5 Pd 2.52-2.70
Pd 0.9907 0.0000 0.3594  5 V 2.52-2.70, 1 Pt 2.71

Results
The space-group type is R3m. Its crystal system is trigonal. As for the mass density: 10.12 Mg/m³. The formation energy from the elements comes out at -0.027 eV per atom.

=====

A plane-wave DFT calculation with GGA-PBE was carried out for a relaxed structure of GaHgPt2.

Cell lengths 4.0884, 4.0884, 5.5893 Å; angles 68.55, 68.55, 60.00 degrees
Closest atoms and distances in Å follow each position.
Fractional positions:
Pt 0.2735 0.2735 0.1796  3 Ga 2.53
Hg 0.5000 0.5000 0.5000  6 Pt 2.86
Pt 0.7265 0.7265 0.8204  3 Ga 2.53
Ga 0.0000 0.0000 0.0000  6 Pt 2.53

Results
The space-group type is R-3m. Its crystal system is trigonal. Its energy above the most stable polymorph in this dataset is 93.1 meV/atom. As for the mass density: 14.95 Mg/m³. The formation energy from the elements comes out at -0.222 eV per atom.

=====

A plane-wave DFT calculation with GGA-PBE was carried out for a relaxed structure of PaCuPt2.

Cell lengths 5.4787, 7.3278, 7.1022 Å; angles 90.00, 90.00, 90.00 degrees
Closest atoms and distances in Å follow each position.
Fractional positions:
Pt 0.9290 0.4484 0.2008  3 Cu 2.57-2.64
Pt 0.0710 0.9484 0.7992  3 Cu 2.57-2.64
Cu 0.1341 0.7500 0.1063  6 Pt 2.57-2.64
Pa 0.8711 0.7500 0.4694  3 Cu 2.88-2.95, 8 Pt 2.94-3.21
Pt 0.4290 0.9484 0.2992  3 Cu 2.57-2.64
Pt 0.5710 0.0516 0.7008  3 Cu 2.57-2.64
Pt 0.5710 0.4484 0.7008  3 Cu 2.57-2.64
Pa 0.3711 0.2500 0.0306  3 Cu 2.88-2.95, 8 Pt 2.94-3.21
Pt 0.0710 0.5516 0.7992  3 Cu 2.57-2.64
Pa 0.1289 0.2500 0.5306  3 Cu 2.88-2.95, 8 Pt 2.94-3.21
Cu 0.6341 0.2500 0.3937  6 Pt 2.57-2.64
Pt 0.9290 0.0516 0.2008  3 Cu 2.57-2.64
Cu 0.8659 0.2500 0.8937  6 Pt 2.57-2.64
Cu 0.3659 0.7500 0.6063  6 Pt 2.57-2.64
Pt 0.4290 0.5516 0.2992  3 Cu 2.57-2.64
Pa 0.6289 0.7500 0.9694  3 Cu 2.88-2.95, 8 Pt 2.94-3.21

Results
The space-group type is Pnma. Its crystal system is orthorhombic. Its energy above the most stable polymorph in this dataset is 8.7 meV/atom. As for the mass density: 15.95 Mg/m³. The formation energy from the elements comes out at -0.741 eV per atom.